## ScAlCoNi (PBE)

Data for crystalline ScAlCoNi at its relaxed geometry.

The calculation puts the total energy at -5.88 eV per atom. The crystal system is cubic. As for the total magnetization: 0.2741 μB per atom. Its energy relative to the lowest polymorph listed for this composition is 0.351 eV per atom.

The space group is F-43m (No. 216) and the conventional cell measures 6.0693, 6.0693 and 6.0693 Å, with angles of 90.00, 90.00 and 90.00 degrees. The asymmetric unit holds Sc at (0.0000, 0.0000, 0.0000), Al at (0.2500, 0.2500, 0.7500), Co at (0.0000, 0.0000, 0.5000) and Ni at (0.2500, 0.2500, 0.2500).